Here is crystalline Y2BeZnPt6 at its relaxed geometry from the Alexandria database. Energies are from PBE-GGA.

a b c (Å): 5.6090 5.6090 20.3874
angles (deg): 90.00 90.00 120.00
Space group R-3m (No. 166, hexagonal axes)
One atom of each set of equivalent atoms:
Y  0.0000  0.0000  0.2078 [6 per cell]
Be  0.0000  0.0000  0.0000 [3 per cell]
Zn  0.0000  0.0000  0.5000 [3 per cell]
Pt  0.0064  0.5032  0.2625 [18 per cell]

Values from the calculation:
Energy in eV/cell: -186.97
Crystal system: trigonal
Energy of formation from the pure elements in eV per atom: -0.815
Calculated volume in Å³ per cell: 555.5


Here is crystalline YBeZnPt2 at its relaxed geometry from the Alexandria database. Energies are from PBE-GGA.

a b c (Å): 3.824 3.824 11.903
angles (deg): 90.00 90.00 90.00
Space group I-4m2 (No. 119)
One atom of each set of equivalent atoms:
Y  0.000  0.000  0.000 [2 per cell]
Be  0.000  0.500  0.250 [2 per cell]
Zn  0.000  0.500  0.750 [2 per cell]
Pt  0.000  0.000  0.385 [4 per cell]

Values from the calculation:
Energy in eV/cell: -54.68
Energy above the most stable polymorph in this dataset in eV per formula unit: 0.00
Crystal system: tetragonal
Energy of formation from the pure elements in eV per atom: -0.759
Calculated volume in Å³ per cell: 174.1


Here is crystalline Y2Be4ZnPt3 at its relaxed geometry from the Alexandria database. Energies are from PBE-GGA.

a b c (Å): 3.983 3.983 9.694
angles (deg): 90.00 90.00 90.00
Space group P-4m2 (No. 115)
One atom of each set of equivalent atoms:
Y  0.000  0.500  0.247 [2 per cell]
Be  0.000  0.000  0.000 [1 per cell]
Be  0.000  0.500  0.633 [2 per cell]
Be  0.500  0.500  0.000 [1 per cell]
Zn  0.000  0.000  0.500 [1 per cell]
Pt  0.000  0.500  0.876 [2 per cell]
Pt  0.500  0.500  0.500 [1 per cell]

Values from the calculation:
Energy in eV/cell: -54.55
Crystal system: tetragonal
Energy of formation from the pure elements in eV per atom: -0.732
Calculated volume in Å³ per cell: 153.8


Here is crystalline YBeZnPt2 at its relaxed geometry from the Alexandria database. Energies are from PBE-GGA.

a b c (Å): 4.443 4.443 4.280
angles (deg): 90.00 90.00 90.00
Space group P4/mmm (No. 123)
One atom of each set of equivalent atoms:
Y  0.000  0.000  0.000 [1 per cell]
Be  0.500  0.500  0.500 [1 per cell]
Zn  0.500  0.500  0.000 [1 per cell]
Pt  0.000  0.500  0.500 [2 per cell]

Values from the calculation:
Energy in eV/cell: -26.57
Energy above the most stable polymorph in this dataset in eV per formula unit: 0.77
Crystal system: tetragonal
Energy of formation from the pure elements in eV per atom: -0.605
Calculated volume in Å³ per cell: 84.5